# 1
CeYGa2Au2 after structural relaxation. Source: the Alexandria database, functional PBE.

Properties
- DFT total energy (eV/atom) = -4.91
- density (g/cm³) = 9.6
- ΔE_f (eV per atom) = -0.745
- N(E_F) (states/eV per cell) = 6.1

The structure in CIF format:
```
data_CeYGa2Au2
_chemical_formula_sum 'Ce1 Y1 Ga2 Au2'
_space_group_name_H-M_alt 'P 1'
_space_group_IT_number 1
_cell_length_a 4.550
_cell_length_b 4.550
_cell_length_c 7.341
_cell_angle_alpha 90.00
_cell_angle_beta 90.00
_cell_angle_gamma 120.00
loop_
_space_group_symop_operation_xyz
'x,y,z'
loop_
_atom_site_label
_atom_site_type_symbol
_atom_site_fract_x
_atom_site_fract_y
_atom_site_fract_z
Ce1 Ce 0.000 0.000 0.000
Y1 Y 0.000 0.000 0.500
Ga1 Ga 0.333 0.667 0.747
Ga2 Ga 0.667 0.333 0.253
Au1 Au 0.333 0.667 0.266
Au2 Au 0.667 0.333 0.734
```

# 2
CeYGaAu after structural relaxation. Source: the Alexandria database, functional PBE.

Properties
- DFT total energy (eV/atom) = -5.26
- density (g/cm³) = 8.4
- ΔE_f (eV per atom) = -0.580
- N(E_F) (states/eV per cell) = 39.1

The structure in CIF format:
```
data_CeYGaAu
_chemical_formula_sum 'Ce4 Y4 Ga4 Au4'
_space_group_name_H-M_alt 'P 1'
_space_group_IT_number 1
_cell_length_a 7.317
_cell_length_b 7.317
_cell_length_c 7.317
_cell_angle_alpha 90.00
_cell_angle_beta 90.00
_cell_angle_gamma 90.00
loop_
_space_group_symop_operation_xyz
'x,y,z'
loop_
_atom_site_label
_atom_site_type_symbol
_atom_site_fract_x
_atom_site_fract_y
_atom_site_fract_z
Ce1 Ce 0.000 0.000 0.000
Ce2 Ce 0.000 0.500 0.500
Ce3 Ce 0.500 0.000 0.500
Ce4 Ce 0.500 0.500 0.000
Y1 Y 0.000 0.000 0.500
Y2 Y 0.000 0.500 0.000
Y3 Y 0.500 0.000 0.000
Y4 Y 0.500 0.500 0.500
Ga1 Ga 0.250 0.250 0.250
Ga2 Ga 0.250 0.750 0.750
Ga3 Ga 0.750 0.250 0.750
Ga4 Ga 0.750 0.750 0.250
Au1 Au 0.250 0.250 0.750
Au2 Au 0.250 0.750 0.250
Au3 Au 0.750 0.250 0.250
Au4 Au 0.750 0.750 0.750
```

> Among the records above, which one has the highest DFT total energy?

CeYGa2Au2

What did the second record say?
CeYGaAu after structural relaxation. Source: the Alexandria database, functional PBE.

Properties
- DFT total energy (eV/atom) = -5.26
- density (g/cm³) = 8.4
- ΔE_f (eV per atom) = -0.580
- N(E_F) (states/eV per cell) = 39.1

The structure in CIF format:
```
data_CeYGaAu
_chemical_formula_sum 'Ce4 Y4 Ga4 Au4'
_space_group_name_H-M_alt 'P 1'
_space_group_IT_number 1
_cell_length_a 7.317
_cell_length_b 7.317
_cell_length_c 7.317
_cell_angle_alpha 90.00
_cell_angle_beta 90.00
_cell_angle_gamma 90.00
loop_
_space_group_symop_operation_xyz
'x,y,z'
loop_
_atom_site_label
_atom_site_type_symbol
_atom_site_fract_x
_atom_site_fract_y
_atom_site_fract_z
Ce1 Ce 0.000 0.000 0.000
Ce2 Ce 0.000 0.500 0.500
Ce3 Ce 0.500 0.000 0.500
Ce4 Ce 0.500 0.500 0.000
Y1 Y 0.000 0.000 0.500
Y2 Y 0.000 0.500 0.000
Y3 Y 0.500 0.000 0.000
Y4 Y 0.500 0.500 0.500
Ga1 Ga 0.250 0.250 0.250
Ga2 Ga 0.250 0.750 0.750
Ga3 Ga 0.750 0.250 0.750
Ga4 Ga 0.750 0.750 0.250
Au1 Au 0.250 0.250 0.750
Au2 Au 0.250 0.750 0.250
Au3 Au 0.750 0.250 0.250
Au4 Au 0.750 0.750 0.750
```

> Which formula does entry 2 have?

CeYGaAu